Crystalline Tb2Ho5Er5 at its relaxed geometry. Source: the Alexandria database, functional GGA-PBE.

Lattice parameters (Å, degrees): 4.9715 7.8536 11.1078 115.09 90.00 108.45
Fractional positions:
Ho1 0.5838 0.1676 0.2500
Ho2 0.3335 0.6670 0.0001
Ho3 0.6665 0.3330 0.9999
Ho4 0.4162 0.8324 0.7500
Ho5 0.5000 0.0000 0.5000
Tb1 0.9167 0.8335 0.2505
Tb2 0.0833 0.1665 0.7495
Er1 0.0000 0.0000 0.0000
Er2 0.2496 0.4992 0.2499
Er3 0.8329 0.6659 0.4999
Er4 0.7504 0.5008 0.7501
Er5 0.1671 0.3341 0.5001

Computed properties:
For the formation energy, the calculation gives 0.020 eV/atom. Its symmetry is C2/m (12).